1.
{"formula": "Li2NdRh", "functional": "PBE", "state": "relaxed", "mass_density_g_cm3": 5.7, "e_form_kcal_per_mol_atoms": -6.88, "relative_energy_mev_per_atom": 0.0, "total_energy_ev_per_cell": -17.14, "lattice": [[-2.901, 0.071, -2.791], [2.574, 1.619, -2.638], [1.415, -5.134, 1.323]], "species": ["Li", "Rh", "Nd", "Li"], "fractional_positions": [[0.001, 0.999, 0.000], [0.750, 0.250, 0.500], [0.250, 0.750, 0.500], [0.499, 0.501, 0.000]]}

2.
{"formula": "LiNdRh", "functional": "PBE", "state": "relaxed", "mass_density_g_cm3": 5.9, "e_form_kcal_per_mol_atoms": -8.95, "relative_energy_mev_per_atom": 57.0, "total_energy_ev_per_cell": -30.40, "lattice": [[-2.445, -1.041, -2.621], [-1.572, -2.961, 2.643], [-7.137, 5.387, 1.794]], "species": ["Nd", "Rh", "Rh", "Nd", "Li", "Li"], "fractional_positions": [[0.998, 0.415, 0.275], [0.642, 0.415, 0.994], [0.533, 0.915, 0.205], [0.177, 0.915, 0.924], [0.382, 0.915, 0.505], [0.793, 0.416, 0.694]]}

3.
{"formula": "Li2NdRh", "functional": "PBE", "state": "relaxed", "mass_density_g_cm3": 5.3, "e_form_kcal_per_mol_atoms": -5.69, "relative_energy_mev_per_atom": 51.7, "total_energy_ev_per_cell": -33.87, "lattice": [[4.006, -0.166, 0.000], [-1.790, 4.955, 0.000], [0.000, 0.000, 8.445]], "species": ["Li", "Li", "Rh", "Li", "Nd", "Li", "Nd", "Rh"], "fractional_positions": [[0.831, 0.663, 0.554], [0.169, 0.337, 0.054], [0.256, 0.513, 0.750], [0.831, 0.663, 0.946], [0.558, 0.111, 0.750], [0.169, 0.337, 0.446], [0.442, 0.889, 0.250], [0.744, 0.487, 0.250]]}